Zr2SbAsSe: single point on PBEsol structure, meta-GGA SCAN.

Cell and atoms, written as extended XYZ:
```
5
Lattice="4.9197 0.0000 0.0000 0.0000 5.3452 0.0000 0.0000 0.0000 5.3452" Properties=species:S:1:pos:R:3 pbc="T T T"
As 2.4599 0.0000 0.0000
Zr 0.0000 2.6726 0.0000
Zr 0.0000 0.0000 2.6726
Sb 0.0000 0.0000 0.0000
Se 2.4599 2.6726 2.6726
```

Computed properties:
The value obtained for the uncorrected formation energy is 3.4 eV/f.u. Its uncorrected energy is -135.6 eV for the cell shown. Its spin magnetization is 0.0 Bohr magnetons per cell.

LiP2Pb: single point on PBEsol structure, meta-GGA SCAN.

Cell and atoms, written as extended XYZ:
```
4
Lattice="-1.7573 -3.4564 0.7904 3.7916 -1.7465 0.7923 -1.3741 3.7554 3.4608" Properties=species:S:1:pos:R:3 pbc="T T T"
Li -0.8786 -1.7282 0.3952
Pb 1.8958 -0.8733 0.3961
P -0.1751 0.5660 2.0859
P 0.8353 -2.0136 2.9577
```

Computed properties:
Its uncorrected energy is -98.0 eV for the cell shown. Its spin magnetization is 0.0 Bohr magnetons per cell. The formation enthalpy at 0 K comes out at 0.23 eV per atom.

Cd2CuRh: single point on PBEsol structure, meta-GGA SCAN.

Cell and atoms, written as extended XYZ:
```
4
Lattice="-2.4456 -1.9092 -2.1750 1.0559 -3.4595 1.8496 -2.9179 0.5877 2.7649" Properties=species:S:1:pos:R:3 pbc="T T T"
Cd -1.4589 0.2938 1.3825
Cd 0.5279 -1.7298 0.9248
Cu -2.1538 -2.3905 1.2197
Rh -1.2228 -0.9546 -1.0875
```

Computed properties:
Its uncorrected energy is -110.2 eV for the cell shown. Its spin magnetization is 0.0 Bohr magnetons per cell. The formation enthalpy at 0 K comes out at -0.09 eV per atom.

Tb3CuSiSe7: single point on PBEsol structure, meta-GGA SCAN.

Cell and atoms, written as extended XYZ:
```
24
Lattice="5.8935 0.0000 0.0000 0.0000 10.2222 0.0000 0.0000 -5.1111 8.8527" Properties=species:S:1:pos:R:3 pbc="T T T"
Se 0.1151 -1.6465 4.5945
Se 0.1151 1.9554 5.1295
Se 3.0618 6.7576 4.2582
Se 3.0618 3.1557 3.7232
Se 3.0618 5.4200 0.8713
Se 0.1151 -0.3089 7.9814
Se 1.6647 -3.2793 7.3962
Se 1.6647 0.3455 2.3147
Se 1.6647 2.9338 7.9946
Se 3.2847 0.0000 5.9018
Se 4.6115 8.3904 1.4565
Se 4.6115 2.1773 0.8582
Se 0.3379 5.1111 2.9509
Se 4.6115 4.7657 6.5380
Tb 1.5503 7.7393 1.9934
Tb 1.5503 4.6263 5.7058
Tb 4.4971 2.1434 7.6991
Tb 1.5503 2.9678 1.1536
Tb 4.4971 0.4849 3.1469
Tb 4.4971 -2.6282 6.8594
Cu 1.7498 0.0000 0.0000
Cu 4.6966 0.0000 0.0000
Si 1.0327 0.0000 5.9018
Si 3.9795 5.1111 2.9509
```

Computed properties:
The value obtained for the uncorrected formation energy is -17.9 eV/f.u. Its uncorrected energy is -647.8 eV for the cell shown. Its spin magnetization is 0.0 Bohr magnetons per cell.

Y2MnNi: single point on PBEsol structure, meta-GGA SCAN.

Cell and atoms, written as extended XYZ:
```
4
Lattice="3.2606 0.0000 0.0000 0.0000 3.2606 0.0000 0.0000 0.0000 7.6786" Properties=species:S:1:pos:R:3 pbc="T T T"
Ni 1.6303 1.6303 5.4112
Y 0.0000 0.0000 7.1306
Y 1.6303 1.6303 2.3604
Mn 0.0000 0.0000 4.2943
```

Computed properties:
Its uncorrected energy is -90.5 eV for the cell shown. Its spin magnetization is 4.0 Bohr magnetons per cell. The formation enthalpy at 0 K comes out at -0.10 eV per atom.

Sm4Er11S22: single point on PBEsol structure, meta-GGA SCAN.

Cell and atoms, written as extended XYZ:
```
37
Lattice="-0.0855 -1.5587 3.5277 6.3394 -8.4508 -3.5801 15.4889 11.0291 3.1394" Properties=species:S:1:pos:R:3 pbc="T T T"
S 14.6626 2.0714 3.3800
S 14.2180 5.5966 4.9267
S 7.0802 -1.0518 -0.2931
S 7.5911 -8.0055 -1.2438
S 1.7765 -1.8620 -0.7796
S 12.3854 0.7232 0.6198
S 8.6252 4.1979 2.0639
S 16.7324 4.9027 2.5719
S 19.9662 2.8816 3.8666
S 4.1519 -0.6315 1.9309
S 7.5247 -4.5769 -1.8398
S 15.6011 -1.1766 1.9677
S 13.1175 -3.1783 1.0230
S 10.1550 -2.0041 -0.6392
S 11.5877 3.0237 3.7262
S 17.5909 1.6512 1.1561
S 10.2958 -5.3759 -0.0164
S 9.3574 0.2965 2.4671
S 14.1517 9.0251 4.3308
S 6.1417 2.1962 1.1193
S 11.4470 6.3955 3.1033
S 5.0103 -3.8831 0.5151
Sm 3.3142 2.0527 0.9873
Sm 8.1428 -3.5686 0.7299
Sm 18.4286 -1.0330 2.0996
Sm 13.6000 4.5882 2.3570
Er 6.7542 -0.0827 2.2364
Er 4.4542 -1.5697 -0.5856
Er 17.2886 2.5893 3.6725
Er 10.4363 2.4587 1.3394
Er 15.9533 7.1795 3.5590
Er 14.9885 1.1024 0.8505
Er 9.5387 4.8339 4.4763
Er 5.7895 -6.1599 -0.4721
Er 11.3065 -1.4391 1.7475
Er 12.2041 -3.8143 -1.3894
Er 0.0000 0.0000 0.0000
```

Computed properties:
The value obtained for the uncorrected formation energy is -88.0 eV/f.u. Its uncorrected energy is -1031.3 eV for the cell shown. Its spin magnetization is 0.0 Bohr magnetons per cell.

NaHfNO2: single point on PBEsol structure, meta-GGA SCAN.

Cell and atoms, written as extended XYZ:
```
5
Lattice="4.0807 0.0000 0.0000 0.0000 4.0807 0.0000 0.0000 0.0000 4.2878" Properties=species:S:1:pos:R:3 pbc="T T T"
Na 2.0404 2.0404 2.1439
O 0.0000 2.0404 0.0000
O 2.0404 0.0000 0.0000
N 0.0000 0.0000 2.1439
Hf 0.0000 0.0000 0.0000
```

Computed properties:
The value obtained for the uncorrected formation energy is -8.8 eV/f.u. Its uncorrected energy is -97.5 eV for the cell shown. Its spin magnetization is 2.0 Bohr magnetons per cell.

RuRh5: single point on PBEsol structure, meta-GGA SCAN.

Cell and atoms, written as extended XYZ:
```
6
Lattice="3.7734 0.0000 0.0000 0.0000 3.7747 0.0000 -1.8867 0.0000 5.6570" Properties=species:S:1:pos:R:3 pbc="T T T"
Rh 0.0000 0.0000 1.8481
Rh 0.0000 1.8873 3.7774
Rh 1.8867 1.8873 1.8795
Rh 1.8867 0.0000 3.8089
Rh 0.0000 1.8873 0.0000
Ru 1.8867 0.0000 0.0000
```

Computed properties:
Its uncorrected energy is -203.6 eV for the cell shown. Its spin magnetization is 0.0 Bohr magnetons per cell. The formation enthalpy at 0 K comes out at 0.01 eV per atom. The energy relative to the lowest polymorph listed for this composition comes out at 1 meV/atom.